Cs2PuBr2F4 | PBE | optimized geometry

abc: 7.2254 7.2254 7.2254
angles: 117.78 117.78 93.89
Closest atoms and distances in Å follow each position.
Positions (direct):
Cs 0.2500 0.7500 0.5000  8 F 3.65, 4 Br 3.75
Cs 0.7500 0.2500 0.5000  8 F 3.65, 4 Br 3.75
Pu 0.0000 0.0000 0.0000  4 F 2.12
Br 0.2865 0.2865 0.0000  1 Pu 2.83
Br 0.7135 0.7135 0.0000  1 Pu 2.83
F 0.2008 0.2008 0.4017  1 Pu 2.12
F 0.2008 0.7992 0.0000  1 Pu 2.12
F 0.7992 0.2008 0.0000  1 Pu 2.12
F 0.7992 0.7992 0.5983  1 Pu 2.12

Values from the calculation:
VASP energy, eV/cell: -51.019
Space-group type: I4/mmm

---

CsPuBr2F | PBE | optimized geometry

abc: 6.0503 6.0503 4.6891
angles: 90.00 90.00 90.00
Closest atoms and distances in Å follow each position.
Positions (direct):
Cs 0.0000 0.0000 0.0000  8 Br 3.83, 4 F 4.28
Pu 0.5000 0.5000 0.5000  2 F 2.34
Br 0.0000 0.5000 0.5000  2 Pu 3.03
Br 0.5000 0.0000 0.5000  2 Pu 3.03
F 0.5000 0.5000 0.0000  2 Pu 2.34

Values from the calculation:
VASP energy, eV/cell: -30.585
Space-group type: P4/mmm

---

CsRb2BrF | PBE | optimized geometry

abc: 5.5269 5.5269 7.4443
angles: 90.00 90.00 90.00
Closest atoms and distances in Å follow each position.
Positions (direct):
Cs 0.0000 0.0000 0.0000  2 F 3.72, 4 Br 3.91
Rb 0.0000 0.5000 0.5000  2 F 2.76
Rb 0.5000 0.0000 0.5000  2 F 2.76
Br 0.5000 0.5000 0.0000  4 Cs 3.91
F 0.0000 0.0000 0.5000  4 Rb 2.76

Values from the calculation:
VASP energy, eV/cell: -14.247
Space-group type: P4/mmm
ΔE to the lowest computed polymorph, eV/atom: 0.000

---

Cs2Rb3Br3F2 | PBE | optimized geometry

abc: 14.6242 14.6242 14.6242
angles: 158.95 158.95 29.94
Closest atoms and distances in Å follow each position.
Positions (direct):
Cs 0.2500 0.7500 0.5000  4 F 2.87
Cs 0.7500 0.2500 0.5000  4 F 2.87
Rb 0.0000 0.0000 0.0000  6 Br 3.59-3.78
Rb 0.3813 0.3813 0.0000  1 F 2.65
Rb 0.6187 0.6187 0.0000  1 F 2.65
Br 0.1272 0.1272 0.0000  5 Rb 3.59-3.78
Br 0.5000 0.5000 0.0000  2 Rb 3.35
Br 0.8728 0.8728 0.0000  5 Rb 3.59-3.78
F 0.2875 0.2875 0.0000  1 Rb 2.65, 4 Cs 2.87
F 0.7125 0.7125 0.0000  1 Rb 2.65, 4 Cs 2.87

Values from the calculation:
VASP energy, eV/cell: -34.058
Space-group type: I4/mmm

---

CsRb2BrF6 | PBE | optimized geometry

abc: 7.6180 7.6180 7.6180
angles: 128.71 128.71 75.48
Closest atoms and distances in Å follow each position.
Positions (direct):
Cs 0.0000 0.0000 0.0000  6 F 2.74-2.83
Rb 0.2500 0.7500 0.5000  4 F 3.30
Rb 0.7500 0.2500 0.5000  4 F 3.30
Br 0.5000 0.5000 0.0000  4 F 1.92
F 0.2350 0.2350 0.0000  1 Cs 2.83
F 0.2938 0.2938 0.5877  1 Br 1.92
F 0.2938 0.7062 0.0000  1 Br 1.92
F 0.7062 0.2938 0.0000  1 Br 1.92
F 0.7062 0.7062 0.4123  1 Br 1.92
F 0.7650 0.7650 0.0000  1 Cs 2.83

Values from the calculation:
VASP energy, eV/cell: -35.105
Space-group type: I4/mmm

---

CsRbBr2F8 | PBE | optimized geometry

abc: 5.5109 5.5109 10.8593
angles: 90.00 90.00 120.00
Closest atoms and distances in Å follow each position.
Positions (direct):
Cs 0.0000 0.0000 0.0000  6 F 3.25
Rb 0.0000 0.0000 0.5000  6 F 2.81
Br 0.3333 0.6667 0.7086  3 F 1.93
Br 0.6667 0.3333 0.2914  3 F 1.93
F 0.0166 0.6813 0.3019  1 Br 1.93
F 0.3187 0.3353 0.3019  1 Br 1.93
F 0.3333 0.6667 0.9374  1 Br 2.49
F 0.3353 0.0166 0.6981  1 Br 1.93
F 0.6647 0.9834 0.3019  1 Br 1.93
F 0.6667 0.3333 0.0626  1 Br 2.49
F 0.6813 0.6647 0.6981  1 Br 1.93
F 0.9834 0.3187 0.6981  1 Br 1.93

Values from the calculation:
VASP energy, eV/cell: -34.526
Space-group type: P-3

---

Cs2ReBr2F4 | PBE | optimized geometry

abc: 6.7642 6.7642 6.6124
angles: 93.45 93.45 64.12
Closest atoms and distances in Å follow each position.
Positions (direct):
Cs 0.1732 0.1732 0.1923  4 F 3.08-3.11
Cs 0.8268 0.8268 0.8077  4 F 3.08-3.11
Re 0.5000 0.5000 0.0000  4 F 1.99
Br 0.3558 0.3558 0.6912  1 Re 2.53
Br 0.6442 0.6442 0.3088  1 Re 2.53
F 0.2067 0.6080 0.1208  1 Re 1.99
F 0.3920 0.7933 0.8792  1 Re 1.99
F 0.6080 0.2067 0.1208  1 Re 1.99
F 0.7933 0.3920 0.8792  1 Re 1.99

Values from the calculation:
VASP energy, eV/cell: -42.902
Space-group type: C2/m

---

Cs2ReBrF | PBE | optimized geometry

abc: 6.9216 6.9216 4.1389
angles: 90.00 90.00 90.00
Closest atoms and distances in Å follow each position.
Positions (direct):
Cs 0.0000 0.5000 0.0000  2 Re 3.46
Cs 0.5000 0.0000 0.0000  2 Re 3.46
Re 0.0000 0.0000 0.0000  2 F 2.07
Br 0.5000 0.5000 0.5000  8 Cs 4.03, 2 Br 4.14
F 0.0000 0.0000 0.5000  2 Re 2.07

Values from the calculation:
VASP energy, eV/cell: -19.076
Space-group type: P4/mmm

---

CsRhBr2F | PBE | optimized geometry

abc: 5.3157 5.3157 4.4331
angles: 90.00 90.00 90.00
Closest atoms and distances in Å follow each position.
Positions (direct):
Cs 0.0000 0.0000 0.0000  8 Br 3.46, 4 F 3.76
Rh 0.5000 0.5000 0.5000  2 F 2.22
Br 0.0000 0.5000 0.5000  2 Rh 2.66
Br 0.5000 0.0000 0.5000  2 Rh 2.66
F 0.5000 0.5000 0.0000  2 Rh 2.22

Values from the calculation:
VASP energy, eV/cell: -18.566
Space-group type: P4/mmm

---

Cs2RuBr2F4 | PBE | optimized geometry

abc: 6.8008 6.8008 6.8008
angles: 114.86 114.86 99.16
Closest atoms and distances in Å follow each position.
Positions (direct):
Cs 0.2500 0.7500 0.5000  8 F 3.46, 4 Br 3.67
Cs 0.7500 0.2500 0.5000  8 F 3.46, 4 Br 3.67
Ru 0.0000 0.0000 0.0000  4 F 1.96
Br 0.2843 0.2843 0.0000  1 Ru 2.51
Br 0.7157 0.7157 0.0000  1 Ru 2.51
F 0.1893 0.1893 0.3786  1 Ru 1.96
F 0.1893 0.8107 0.0000  1 Ru 1.96
F 0.8107 0.1893 0.0000  1 Ru 1.96
F 0.8107 0.8107 0.6214  1 Ru 1.96

Values from the calculation:
VASP energy, eV/cell: -38.672
Space-group type: I4/mmm

---

Cs4SBrF | PBE | optimized geometry

abc: 8.3261 7.9307 10.2293
angles: 90.00 108.54 90.00
Closest atoms and distances in Å follow each position.
Positions (direct):
Cs 0.0030 0.0002 0.2195  1 F 2.76
Cs 0.0030 0.4998 0.2195  1 F 2.76
Cs 0.4465 0.2500 0.6461  1 F 2.76
Cs 0.4550 0.2500 0.0804  1 F 2.81
Cs 0.5450 0.7500 0.9196  1 F 2.81
Cs 0.5535 0.7500 0.3539  1 F 2.76
Cs 0.9970 0.9998 0.7805  1 F 2.76
Cs 0.9970 0.5002 0.7805  1 F 2.76
S 0.2288 0.7500 0.0591  6 Cs 3.35-3.50
S 0.7712 0.2500 0.9409  6 Cs 3.35-3.50
Br 0.2627 0.7500 0.5606  4 Cs 3.68-4.00
Br 0.7373 0.2500 0.4394  4 Cs 3.68-4.00
F 0.2359 0.2500 0.8075  4 Cs 2.76-2.81
F 0.7641 0.7500 0.1925  4 Cs 2.76-2.81

Values from the calculation:
VASP energy, eV/cell: -45.210
Space-group type: P2_1/m

---

Cs2SbBr5F | PBE | optimized geometry

abc: 7.8703 7.8703 7.8703
angles: 120.29 120.29 89.50
Closest atoms and distances in Å follow each position.
Positions (direct):
Cs 0.0000 0.5000 0.5000  10 Br 3.91-3.96, 2 F 4.00
Cs 0.5000 0.0000 0.5000  10 Br 3.91-3.96, 2 F 4.00
Sb 0.2485 0.2485 0.0000  1 F 2.01
Br 0.0083 0.0083 0.5099  1 Sb 2.72
Br 0.0083 0.4984 0.0000  1 Sb 2.72
Br 0.4984 0.0083 0.0000  1 Sb 2.72
Br 0.4984 0.4984 0.4901  1 Sb 2.72
Br 0.9990 0.9990 0.0000  1 Sb 2.79
F 0.4282 0.4282 0.0000  1 Sb 2.01

Values from the calculation:
VASP energy, eV/cell: -28.420
Space-group type: I4mm